Record 1
Here is an optimized crystal structure of TaZn2Tc from Alexandria. Energies are from PBE-GGA.

Lattice parameters (Å, degrees): 2.785 2.785 8.671 90.00 90.00 109.84
Fractional positions:
Zn1 0.500 0.500 0.244
Zn2 0.000 0.000 0.997
Tc1 0.500 0.500 0.752
Ta1 0.000 0.000 0.507

Properties
The space group is Cmm2. The calculation puts the energy above the most stable polymorph in this dataset at 67.5 meV per atom.

=====

Record 2
Here is an optimized crystal structure of Ta2ZnTc from Alexandria. Energies are from PBE-GGA.

Lattice parameters (Å, degrees): 4.311 2.796 5.642 75.24 90.00 90.00
Fractional positions:
Ta1 0.000 0.473 0.489
Ta2 0.000 0.027 0.011
Tc1 0.500 0.250 0.250
Zn1 0.500 0.750 0.750

Properties
The space group is P2/m.

=====

Record 3
Here is an optimized crystal structure of TaZn2Tc from Alexandria. Energies are from PBE-GGA.

Lattice parameters (Å, degrees): 4.340 2.690 5.495 72.57 90.00 90.00
Fractional positions:
Tc1 0.500 0.750 0.750
Zn1 0.000 0.529 0.509
Zn2 0.000 0.971 0.991
Ta1 0.500 0.250 0.250

Properties
The space group is P2/m. The calculation puts the energy above the most stable polymorph in this dataset at 61.5 meV per atom.

=====

Record 4
Here is an optimized crystal structure of Ta2ZnTc from Alexandria. Energies are from PBE-GGA.

Lattice parameters (Å, degrees): 2.806 2.806 8.838 90.00 90.00 108.60
Fractional positions:
Ta1 0.000 0.000 0.494
Ta2 0.000 0.000 0.006
Zn1 0.500 0.500 0.750
Tc1 0.500 0.500 0.250

Properties
The space group is Cmmm.

=====

Record 5
Here is an optimized crystal structure of TaZn2Tc from Alexandria. Energies are from PBE-GGA.

Lattice parameters (Å, degrees): 4.390 4.390 4.390 60.00 60.00 60.00
Fractional positions:
Ta1 0.500 0.500 0.500
Tc1 0.000 0.000 0.000
Zn1 0.250 0.250 0.250
Zn2 0.750 0.750 0.750

Properties
The space group is Fm-3m. The calculation puts the energy above the most stable polymorph in this dataset at 240.3 meV per atom.

=====

Record 6
Here is an optimized crystal structure of TaZn2Tc from Alexandria. Energies are from PBE-GGA.

Lattice parameters (Å, degrees): 7.053 7.053 5.634 51.25 51.25 90.00
Fractional positions:
Zn1 0.875 0.863 0.750
Zn2 0.375 0.387 0.750
Zn3 0.137 0.625 0.250
Zn4 0.613 0.125 0.250
Tc1 0.250 0.750 0.500
Tc2 0.500 0.500 0.000
Ta1 0.000 0.000 0.000
Ta2 0.750 0.250 0.500

Properties
The space group is I-42d. The calculation puts the energy above the most stable polymorph in this dataset at 549.2 meV per atom.

=====

Record 7
Here is an optimized crystal structure of TaZnTc2 from Alexandria. Energies are from PBE-GGA.

Lattice parameters (Å, degrees): 5.011 5.011 4.514 66.63 66.63 37.00
Fractional positions:
Zn1 0.750 0.750 0.750
Tc1 0.508 0.508 0.504
Tc2 0.992 0.992 0.996
Ta1 0.250 0.250 0.250

Properties
The space group is C2/m.

=====

Record 8
Here is an optimized crystal structure of TaZnTc2 from Alexandria. Energies are from PBE-GGA.

Lattice parameters (Å, degrees): 9.390 9.390 9.390 17.10 17.10 17.10
Fractional positions:
Tc1 0.252 0.252 0.252
Tc2 0.994 0.994 0.994
Ta1 0.750 0.750 0.750
Zn1 0.504 0.504 0.504

Properties
The space group is R3m.

=====

Number 1: total DFT energy (no corrections) -6.159 eV per atom, ΔH_f (0 K) 0.03 eV/atom. Number 2: total DFT energy (no corrections) -8.849 eV per atom, ΔH_f (0 K) -0.01 eV/atom. Number 3: total DFT energy (no corrections) -6.165 eV per atom, ΔH_f (0 K) 0.03 eV/atom. Number 4: total DFT energy (no corrections) -8.862 eV per atom, ΔH_f (0 K) -0.03 eV/atom. Number 5: total DFT energy (no corrections) -5.986 eV per atom, ΔH_f (0 K) 0.21 eV/atom. Number 6: total DFT energy (no corrections) -5.677 eV per atom, ΔH_f (0 K) 0.51 eV/atom. Number 7: total DFT energy (no corrections) -8.451 eV per atom, ΔH_f (0 K) 0.01 eV/atom. Number 8: total DFT energy (no corrections) -8.396 eV per atom, ΔH_f (0 K) 0.07 eV/atom.